Record 1
Entry from the Alexandria database: an optimized crystal structure of PrNd4S7 (PBE).

Unit cell a=3.965 b=7.014 c=11.973 alpha=104.27 beta=90.00 gamma=106.42
Positions (direct):
Nd: 0.301 0.601 0.189
S: 0.956 0.913 0.215
S: 0.258 0.517 0.649
S: 0.044 0.089 0.786
S: 0.739 0.479 0.350
S: 0.660 0.319 0.051
S: 0.500 0.001 0.499
Nd: 0.000 0.001 0.001
Pr: 0.888 0.777 0.580
Nd: 0.112 0.223 0.420
Nd: 0.700 0.400 0.812
S: 0.341 0.682 0.950

Calculated values
**Calculated volume**: 25.72 Å³ per atom
**E_form (uncorrected)**: -2.043 eV per atom



Record 2
Entry from the Alexandria database: an optimized crystal structure of PrNd4S6 (PBE).

Unit cell a=3.996 b=6.996 c=20.492 alpha=90.00 beta=90.00 gamma=106.59
Positions (direct):
S: 0.307 0.614 0.250
S: 0.231 0.461 0.910
Nd: 0.591 0.183 0.629
S: 0.231 0.461 0.590
S: 0.051 0.101 0.168
S: 0.051 0.101 0.332
S: 0.500 0.000 0.500
S: 0.693 0.386 0.750
Nd: 0.139 0.279 0.040
Pr: 0.346 0.692 0.750
Nd: 0.861 0.721 0.540
Nd: 0.409 0.817 0.129
Nd: 0.861 0.721 0.960
S: 0.500 0.000 0.000
S: 0.949 0.899 0.832
Nd: 0.409 0.817 0.371
S: 0.769 0.539 0.410
Nd: 0.139 0.279 0.460
S: 0.769 0.539 0.090
S: 0.949 0.899 0.668
Nd: 0.591 0.183 0.871
Pr: 0.654 0.308 0.250

Calculated values
**Calculated volume**: 24.95 Å³ per atom
**E_form (uncorrected)**: -2.032 eV per atom



Record 3
Entry from the Alexandria database: an optimized crystal structure of PrNd2S3 (PBE).

Unit cell a=4.088 b=5.769 c=7.064 alpha=114.10 beta=106.82 gamma=90.00
Positions (direct):
S: 0.169 0.669 0.837
S: 0.831 0.331 0.163
Nd: 0.834 0.834 0.168
Nd: 0.166 0.166 0.832
S: 0.500 0.000 0.500
Pr: 0.500 0.500 0.500

Calculated values
**Calculated volume**: 24.04 Å³ per atom
**E_form (uncorrected)**: -2.023 eV per atom



Record 4
Entry from the Alexandria database: an optimized crystal structure of Pr2Nd3S4 (PBE).

Unit cell a=4.072 b=7.053 c=9.049 alpha=74.69 beta=77.00 gamma=73.22
Positions (direct):
Nd: 0.203 0.395 0.198
Nd: 0.000 0.000 0.000
S: 0.201 0.898 0.700
Pr: 0.602 0.193 0.603
S: 0.602 0.698 0.099
Nd: 0.797 0.605 0.802
Pr: 0.398 0.807 0.397
S: 0.799 0.102 0.300
S: 0.398 0.302 0.901

Calculated values
**Calculated volume**: 26.32 Å³ per atom
**E_form (uncorrected)**: -1.778 eV per atom



Record 5
Entry from the Alexandria database: an optimized crystal structure of Pr3NdS6 (PBE).

Unit cell a=8.378 b=8.378 c=8.378 alpha=91.28 beta=91.28 gamma=91.28
Positions (direct):
Pr: 0.565 0.074 0.248
S: 0.315 0.906 0.077
Pr: 0.074 0.248 0.565
S: 0.906 0.077 0.315
S: 0.094 0.923 0.685
S: 0.404 0.181 0.534
Nd: 0.500 0.500 0.500
Pr: 0.926 0.752 0.435
Nd: 0.000 0.000 0.000
S: 0.181 0.534 0.404
Pr: 0.248 0.565 0.074
S: 0.534 0.404 0.181
Pr: 0.435 0.926 0.752
S: 0.596 0.819 0.466
Pr: 0.752 0.435 0.926
S: 0.819 0.466 0.596
S: 0.685 0.094 0.923
S: 0.077 0.315 0.906
S: 0.923 0.685 0.094
S: 0.466 0.596 0.819

Calculated values
**Calculated volume**: 29.39 Å³ per atom
**E_form (uncorrected)**: -2.024 eV per atom
**E above lowest polymorph**: 0 meV/atom



Record 6
Entry from the Alexandria database: an optimized crystal structure of Pr3NdS4 (PBE).

Unit cell a=4.065 b=7.117 c=7.117 alpha=109.12 beta=90.00 gamma=90.00
Positions (direct):
Pr: 0.500 0.500 0.500
S: 0.000 0.248 0.248
Nd: 0.500 0.000 0.000
S: 0.000 0.752 0.752
Pr: 0.000 0.500 0.000
Pr: 0.000 0.000 0.500
S: 0.500 0.249 0.751
S: 0.500 0.751 0.249

Calculated values
**Calculated volume**: 24.31 Å³ per atom
**E_form (uncorrected)**: -2.020 eV per atom
**E above lowest polymorph**: 5 meV/atom



Record 7
Entry from the Alexandria database: an optimized crystal structure of Pr2NdScS4 (PBE).

Unit cell a=3.948 b=6.939 c=6.996 alpha=108.76 beta=90.00 gamma=90.00
Positions (direct):
Sc: 0.000 0.000 0.000
Nd: 0.500 0.500 0.000
S: 0.000 0.240 0.764
S: 0.500 0.227 0.226
S: 0.000 0.760 0.236
Pr: 0.500 0.000 0.500
S: 0.500 0.773 0.774
Pr: 0.000 0.500 0.500

Calculated values
**Calculated volume**: 22.69 Å³ per atom
**E_form (uncorrected)**: -1.945 eV per atom



Record 8
Entry from the Alexandria database: an optimized crystal structure of PrNdSc2S4 (PBE).

Unit cell a=3.819 b=6.649 c=6.920 alpha=108.57 beta=90.00 gamma=90.00
Positions (direct):
Sc: 0.500 0.000 0.500
Pr: 0.000 0.000 0.000
Nd: 0.500 0.500 0.000
S: 0.500 0.737 0.716
S: 0.000 0.240 0.717
Sc: 0.000 0.500 0.500
S: 0.500 0.263 0.284
S: 0.000 0.760 0.283

Calculated values
**Calculated volume**: 20.82 Å³ per atom
**E_form (uncorrected)**: -1.926 eV per atom



| no. | D(E_F) (states/eV/f.u.) | total moment (Bohr magnetons per cell) |
| --- | --- | --- |
| 1 | 1.40 | 0.00 |
| 2 | 2.57 | 0.00 |
| 3 | 2.50 | 0.00 |
| 4 | 5.50 | 0.00 |
| 5 | 0.00 | 0.00 |
| 6 | 5.08 | 0.00 |
| 7 | 4.66 | 0.00 |
| 8 | 3.78 | 0.00 |